Record 1
A relaxed CoP2PbO8 crystal, computed with PBE+U.

Results
total moment = 3.9 μB per formula unit
raw total energy = -6.618 eV/atom

a b c (Å): 4.7223 4.7223 7.0244
angles (deg): 93.07 93.07 68.30
Site moments in Bohr magnetons follow the coordinates.
Fractional positions:
Co 0.0000 0.0000 0.5000  3.11
O 0.7077 0.7077 0.0748  0.00
O 0.7615 0.2802 0.2850  0.07
O 0.2802 0.7615 0.2850  0.08
O 0.7640 0.7640 0.4469  0.17
O 0.2360 0.2360 0.5531  0.17
O 0.7198 0.2385 0.7150  0.08
O 0.2385 0.7198 0.7150  0.07
O 0.2923 0.2923 0.9252  0.00
P 0.6349 0.6349 0.2726  0.01
P 0.3651 0.3651 0.7274  0.01
Pb 0.0000 0.0000 0.0000  -0.03


Record 2
A relaxed CoPPdO crystal, computed with PBE+U.

Results
excess energy over the best structure of this formula in the dataset = 0.78 eV per formula unit
total moment = 0.0 μB per formula unit

a b c (Å): 3.3785 5.9784 5.6191
angles (deg): 90.00 90.00 90.00
Fractional positions:
Co 0.0000 0.1618 0.4945
Co 0.0000 0.8382 0.9945
O 0.5000 0.2062 0.4394
O 0.5000 0.7938 0.9394
P 0.0000 0.8190 0.3808
P 0.0000 0.1810 0.8808
Pd 0.5000 0.5610 0.4393
Pd 0.5000 0.4390 0.9393


Record 3
A relaxed CoPPdO crystal, computed with PBE+U.

Results
excess energy over the best structure of this formula in the dataset = 0.74 eV per formula unit
total moment = 2.2 μB per formula unit

a b c (Å): 3.2670 7.1434 4.8561
angles (deg): 90.00 90.00 90.00
Site moments in Bohr magnetons follow the coordinates.
Fractional positions:
Co 0.5000 0.3777 0.0257  2.01
Co 0.5000 0.6223 0.5257  2.02
O 0.5000 0.3724 0.4143  0.19
O 0.5000 0.6276 0.9143  0.19
P 0.0000 0.8095 0.3960  -0.07
P 0.0000 0.1905 0.8960  -0.07
Pd 0.0000 0.1222 0.4180  -0.02
Pd 0.0000 0.8778 0.9180  -0.03


Record 4
A relaxed CoPPdO crystal, computed with PBE+U.

Results
excess energy over the best structure of this formula in the dataset = 0.00 eV per formula unit
total moment = 2.9 μB per formula unit

a b c (Å): 3.9989 3.9989 8.3669
angles (deg): 90.00 90.00 90.00
Fractional positions:
Co 0.5000 0.5000 0.0335
Co 0.0000 0.0000 0.9665
O 0.5000 0.0000 0.0000
O 0.0000 0.5000 0.0000
P 0.5000 0.5000 0.3477
P 0.0000 0.0000 0.6523
Pd 0.5000 0.0000 0.5000
Pd 0.0000 0.5000 0.5000